This record from Alexandria describes a relaxed structure of CeErCl. The functional is GGA-PBE.

Its symmetry is P3m1, No. 156. The calculation puts the density of states at the Fermi level at 6.63 states/eV per cell. The raw formation energy is -0.81 eV/atom.

Cell: 3.5519 3.5519 7.3634 Å, 90.00 90.00 120.00°
Fractional coordinates of all 3 atoms:
Ce  0.0000  0.0000  0.0000
Er  0.6667  0.3333  0.3813
Cl  0.3333  0.6667  0.6605